First-principles (PBEsol) data for LaCo2Hg after structural relaxation, as listed in the Alexandria database.

Results
volume: 18.4 Å³/atom
total energy: -5.34 eV per atom
N(E_F): 1.05 states/eV/atom
formation energy from the elements: 0.007 eV per atom

abc: 3.842 4.045 9.446
angles: 90.00 90.00 90.00
Space group Amm2 (No. 38)
Asymmetric unit:
La  0.000  0.000  0.000 x2
Co  0.000  0.000  0.711 x2
Co  0.500  0.000  0.595 x2
Hg  0.500  0.000  0.299 x2